A geometry-optimized K2Fe3F8 structure. Source: Alexandria, functional PBE with a Hubbard U.

a b c (Å): 6.6019 5.5241 7.1059
angles (deg): 107.73 117.68 90.00
Last column: nearest neighbours and their distance in Å.
Element x y z (fractional)
1 K 0.2798 0.3281 0.5596  6 F 2.59-2.82
2 K 0.7202 0.6719 0.4404  6 F 2.59-2.82
3 Fe 0.0000 0.5000 0.0000  6 F 2.10-2.15
4 Fe 0.7424 0.0000 0.0000  6 F 2.05-2.21
5 Fe 0.2576 0.0000 0.0000  6 F 2.05-2.21
6 F 0.6029 0.9759 0.2058  2 Fe 2.09
7 F 0.3971 0.0241 0.7942  2 Fe 2.09
8 F 0.0919 0.9069 0.1837  3 Fe 2.15-2.21
9 F 0.9081 0.0931 0.8163  3 Fe 2.15-2.21
10 F 0.1190 0.6185 0.8100  2 Fe 2.05-2.10
11 F 0.6910 0.6185 0.8100  2 Fe 2.05-2.10
12 F 0.3090 0.3815 0.1900  2 Fe 2.05-2.10
13 F 0.8810 0.3815 0.1900  2 Fe 2.05-2.10

Summary:
Total energy = -5.207 eV/atom
Space-group type = C2/m (12)